one.
Here is a relaxed TaTi2Mn2 crystal from Alexandria. Energies are from GGA-PBE.

Summary:
As for the crystal system: orthorhombic.

Cell lengths 3.0401, 4.3852, 10.8744 Å; angles 90.00, 98.02, 90.00 degrees
Closest atoms and distances in Å follow each position.
Atoms (fractional coordinates):
Mn 0.6466 0.7500 0.2931  4 Ti 2.48-2.63, 4 Ta 2.67
Mn 0.5479 0.2500 0.0961  2 Ta 2.55, 6 Ti 2.55-2.67
Mn 0.4521 0.7500 0.9039  2 Ta 2.55, 6 Ti 2.55-2.67
Mn 0.3534 0.2500 0.7069  4 Ti 2.48-2.63, 4 Ta 2.67
Ta 0.1430 0.2500 0.2857  6 Mn 2.55-2.67
Ta 0.8570 0.7500 0.7143  6 Mn 2.55-2.67
Ti 0.2373 0.7500 0.4754  2 Mn 2.48, 4 Ti 2.72
Ti 0.9531 0.2500 0.9061  8 Mn 2.55-2.67
Ti 0.7627 0.2500 0.5246  2 Mn 2.48, 4 Ti 2.72
Ti 0.0469 0.7500 0.0939  8 Mn 2.55-2.67

---

two.
Here is a relaxed TaTi2Mn2 crystal from Alexandria. Energies are from GGA-PBE.

Summary:
As for the crystal system: tetragonal.

Cell lengths 6.8689, 6.8689, 3.1241 Å; angles 90.00, 90.00, 90.00 degrees
Closest atoms and distances in Å follow each position.
Atoms (fractional coordinates):
Mn 0.3547 0.8547 0.0000  6 Ti 2.49-2.59, 2 Ta 2.63
Mn 0.8547 0.6453 0.0000  6 Ti 2.49-2.59, 2 Ta 2.63
Mn 0.6453 0.1453 0.0000  6 Ti 2.49-2.59, 2 Ta 2.63
Mn 0.1453 0.3547 0.0000  6 Ti 2.49-2.59, 2 Ta 2.63
Ti 0.1551 0.6551 0.5000  6 Mn 2.49-2.59
Ti 0.6551 0.8449 0.5000  6 Mn 2.49-2.59
Ti 0.3449 0.1551 0.5000  6 Mn 2.49-2.59
Ti 0.8449 0.3449 0.5000  6 Mn 2.49-2.59
Ta 0.5000 0.5000 0.0000  4 Mn 2.63
Ta 0.0000 0.0000 0.0000  4 Mn 2.63

---

Relative energies, unit eV/atom: one 0.000; two 0.259

---

one.
Here is a relaxed TaTi2Mn crystal from Alexandria. Energies are from GGA-PBE.

Summary:
As for the crystal system: tetragonal.

Cell lengths 3.1208, 4.4968, 4.4968 Å; angles 90.00, 90.00, 90.00 degrees
Closest atoms and distances in Å follow each position.
Atoms (fractional coordinates):
Ta 0.5000 0.5000 0.5000  8 Ti 2.74
Mn 0.5000 0.0000 0.0000  8 Ti 2.74
Ti 0.0000 0.0000 0.5000  4 Ta 2.74, 4 Mn 2.74
Ti 0.0000 0.5000 0.0000  4 Ta 2.74, 4 Mn 2.74

---

two.
Here is a relaxed TaTi2Mn crystal from Alexandria. Energies are from GGA-PBE.

Summary:
As for the crystal system: tetragonal.

Cell lengths 2.9952, 2.9952, 6.8953 Å; angles 90.00, 90.00, 90.00 degrees
Closest atoms and distances in Å follow each position.
Atoms (fractional coordinates):
Mn 0.5000 0.5000 0.0000  8 Ti 2.56
Ti 0.0000 0.0000 0.7917  4 Mn 2.56
Ti 0.0000 0.0000 0.2083  4 Mn 2.56
Ta 0.5000 0.5000 0.5000  8 Ti 2.92, 4 Ta 3.00

---

Relative energies, unit eV/atom: one 0.173; two 0.000

---

one.
Here is a relaxed TaTi2Mn crystal from Alexandria. Energies are from GGA-PBE.

Summary:
As for the crystal system: cubic.

Cell lengths 4.4287, 4.4287, 4.4287 Å; angles 60.00, 60.00, 60.00 degrees
Closest atoms and distances in Å follow each position.
Atoms (fractional coordinates):
Ti 0.2500 0.2500 0.2500  4 Ta 2.71, 4 Mn 2.71
Ti 0.7500 0.7500 0.7500  4 Ta 2.71, 4 Mn 2.71
Mn 0.0000 0.0000 0.0000  8 Ti 2.71
Ta 0.5000 0.5000 0.5000  8 Ti 2.71

---

two.
Here is a relaxed TaTi2Mn crystal from Alexandria. Energies are from GGA-PBE.

Summary:
As for the crystal system: tetragonal.

Cell lengths 6.9924, 6.9924, 5.6125 Å; angles 51.47, 51.47, 90.00 degrees
Closest atoms and distances in Å follow each position.
Atoms (fractional coordinates):
Ti 0.1721 0.6250 0.2500  2 Mn 2.35
Ti 0.5779 0.1250 0.2500  2 Mn 2.35
Ti 0.3750 0.4221 0.7500  2 Mn 2.35
Ti 0.8750 0.8279 0.7500  2 Mn 2.35
Mn 0.2500 0.7500 0.5000  4 Ti 2.35
Mn 0.5000 0.5000 0.0000  4 Ti 2.35
Ta 0.7500 0.2500 0.5000  2 Mn 2.66, 4 Ti 2.80
Ta 0.0000 0.0000 0.0000  2 Mn 2.66, 4 Ti 2.80

---

Relative energies, unit eV/atom: one 0.000; two 0.257

---

one.
Here is a relaxed Ta2TiMn crystal from Alexandria. Energies are from GGA-PBE.

Summary:
As for the crystal system: cubic.

Cell lengths 4.4604, 4.4604, 4.4604 Å; angles 60.00, 60.00, 60.00 degrees
Closest atoms and distances in Å follow each position.
Atoms (fractional coordinates):
Ta 0.2500 0.2500 0.2500  4 Mn 2.73, 4 Ti 2.73
Ta 0.7500 0.7500 0.7500  4 Ti 2.73, 4 Mn 2.73
Mn 0.5000 0.5000 0.5000  8 Ta 2.73
Ti 0.0000 0.0000 0.0000  8 Ta 2.73

---

two.
Here is a relaxed Ta2TiMn crystal from Alexandria. Energies are from GGA-PBE.

Summary:
As for the crystal system: tetragonal.

Cell lengths 3.1429, 4.4791, 4.4791 Å; angles 90.00, 90.00, 90.00 degrees
Closest atoms and distances in Å follow each position.
Atoms (fractional coordinates):
Mn 0.5000 0.5000 0.5000  8 Ta 2.74
Ta 0.0000 0.5000 0.0000  4 Mn 2.74, 4 Ti 2.74
Ta 0.0000 0.0000 0.5000  4 Mn 2.74, 4 Ti 2.74
Ti 0.5000 0.0000 0.0000  8 Ta 2.74

---

Relative energies, unit eV/atom: one 0.000; two 0.012